Record 1
A plane-wave DFT calculation with GGA-PBE was carried out for crystalline RbErO3 at its relaxed geometry.

It has space group R-3c (No. 167, hexagonal axes), with a = 6.7215 Å, b = 6.7215 Å, c = 14.0269 Å, α = 90.00°, β = 90.00° and γ = 120.00°. The distinct sites, in fractional coordinates, are Rb at (0.0000, 0.0000, 0.0000), Er at (0.0000, 0.0000, 0.2500) and O at (0.0000, 0.3097, 0.2500).

Its total energy is -26.9 eV per formula unit.

***

Record 2
A plane-wave DFT calculation with GGA-PBE was carried out for crystalline LiInCuTc at its relaxed geometry.

It has space group F-43m (No. 216), with a = 6.178 Å, b = 6.178 Å, c = 6.178 Å, α = 90.00°, β = 90.00° and γ = 90.00°. The distinct sites, in fractional coordinates, are Li at (0.000, 0.000, 0.000), In at (0.250, 0.250, 0.250), Cu at (0.000, 0.000, 0.500) and Tc at (0.250, 0.250, 0.750).

The calculation puts the polymorph energy (0 for the lowest one) at 0.000 eV per atom.

***

Record 3
A plane-wave DFT calculation with GGA-PBE was carried out for crystalline BeTcBTe at its relaxed geometry.

It has space group F-43m (No. 216), with a = 6.048 Å, b = 6.048 Å, c = 6.048 Å, α = 90.00°, β = 90.00° and γ = 90.00°. The distinct sites, in fractional coordinates, are Be at (0.000, 0.000, 0.000), Tc at (0.000, 0.000, 0.500), B at (0.250, 0.250, 0.750) and Te at (0.250, 0.250, 0.250).

The calculation puts the polymorph energy (0 for the lowest one) at 0.000 eV per atom.

***

Record 4
A plane-wave DFT calculation with GGA-PBE was carried out for crystalline LaTlCdTe3 at its relaxed geometry.

It has space group P2_1/m (No. 11), with a = 8.893 Å, b = 4.629 Å, c = 11.232 Å, α = 90.00°, β = 104.74° and γ = 90.00°. The distinct sites, in fractional coordinates, are La at (0.200, 0.250, 0.137), Tl at (0.241, 0.750, 0.715), Cd at (0.423, 0.750, 0.390), Te at (0.046, 0.250, 0.846), Te at (0.256, 0.250, 0.447) and Te at (0.456, 0.750, 0.146).

The calculation puts the polymorph energy (0 for the lowest one) at 0.021 eV per atom.